[1]
Density functional theory data (PBE) for a relaxed Sc5CO5 crystal.

Cell: 10.1056 4.4154 6.3297 Å, 90.00 108.72 90.00°
With the nearest neighbours (Å) after each atom.
Space group C2/m (No. 12)
One atom of each set of equivalent atoms:
Sc: 0.0000 0.0000 0.0000 [2 per cell]  2 C 2.21, 4 O 2.28
Sc: 0.1545 0.5000 0.8208 [4 per cell]  5 O 2.13-2.22, 1 C 2.20
Sc: 0.1642 0.5000 0.3335 [4 per cell]  5 O 2.21-2.26, 1 C 2.23
C: 0.0000 0.5000 0.0000 [2 per cell]  6 Sc 2.20-2.23
O: 0.0000 0.5000 0.5000 [2 per cell]  4 Sc 2.13-2.23
O: 0.1778 0.0000 0.8512 [4 per cell]  5 Sc 2.22-2.28
O: 0.1801 0.0000 0.3280 [4 per cell]  5 Sc 2.17-2.28

Summary:
Volume   267.5 Å³/cell
Magnetic moment   0.00 Bohr magnetons per cell
Formation energy from raw total energies   -2.83 eV/atom

[2]
Density functional theory data (PBE) for a relaxed Sc6CO3 crystal.

Cell: 7.1769 7.1769 7.7432 Å, 90.00 90.00 90.00°
With the nearest neighbours (Å) after each atom.
Space group I4/mmm (No. 139)
One atom of each set of equivalent atoms:
Sc: 0.0000 0.0000 0.2296 [4 per cell]  1 O 1.78
Sc: 0.0000 0.3116 0.5000 [8 per cell]  1 C 2.24, 2 O 2.36
C: 0.0000 0.0000 0.5000 [2 per cell]  6 Sc 2.09-2.24
O: 0.0000 0.0000 0.0000 [2 per cell]  2 Sc 1.78
O: 0.0000 0.5000 0.2500 [4 per cell]  4 Sc 2.36

Summary:
Volume   398.8 Å³/cell
Magnetic moment   0.00 Bohr magnetons per cell
Formation energy from raw total energies   -0.95 eV/atom

[3]
Density functional theory data (PBE) for a relaxed Sc3CO crystal.

Cell: 5.8216 5.8216 17.5324 Å, 90.00 90.00 120.00°
With the nearest neighbours (Å) after each atom.
Space group R-3 (No. 148, hexagonal axes)
One atom of each set of equivalent atoms:
Sc: 0.0063 0.3243 0.4082 [18 per cell]  1 O 2.00
C: 0.0000 0.0000 0.3302 [6 per cell]  6 Sc 2.32
O: 0.0000 0.0000 0.0769 [6 per cell]  3 Sc 2.00

Summary:
Volume   514.6 Å³/cell
Magnetic moment   6.15 Bohr magnetons per cell
Formation energy from raw total energies   -1.22 eV/atom

[4]
Density functional theory data (PBE) for a relaxed Sc3CO crystal.

Cell: 3.5180 17.2660 5.4585 Å, 90.00 90.00 90.00°
With the nearest neighbours (Å) after each atom.
Space group Ama2 (No. 40)
One atom of each set of equivalent atoms:
Sc: 0.2500 0.0737 0.0000 [4 per cell]  2 O 2.01, 1 C 2.22
Sc: 0.2500 0.2768 0.4850 [4 per cell]  3 C 2.28-2.36
Sc: 0.2500 0.3822 0.0221 [4 per cell]  1 O 2.06
C: 0.2500 0.1733 0.7441 [4 per cell]  6 Sc 2.22-2.36
O: 0.2500 0.4310 0.6786 [4 per cell]  3 Sc 2.01-2.06

Summary:
Volume   331.6 Å³/cell
Magnetic moment   0.00 Bohr magnetons per cell
Formation energy from raw total energies   -1.32 eV/atom

[5]
Density functional theory data (PBE) for a relaxed Sc8C3O2 crystal.

Cell: 11.4611 6.6918 5.8589 Å, 90.00 109.71 90.00°
With the nearest neighbours (Å) after each atom.
Space group C2/m (No. 12)
One atom of each set of equivalent atoms:
Sc: 0.1196 0.0000 0.2415 [4 per cell]  3 C 2.33-2.36, 1 O 2.59
Sc: 0.1196 0.2404 0.7561 [8 per cell]  1 O 2.06, 1 C 2.29
Sc: 0.1208 0.5000 0.2278 [4 per cell]  1 O 2.03
C: 0.0000 0.0000 0.5000 [2 per cell]  6 Sc 2.31-2.36
C: 0.0000 0.2524 0.0000 [4 per cell]  6 Sc 2.28-2.33
O: 0.1405 0.5000 0.5850 [4 per cell]  3 Sc 2.03-2.06

Summary:
Volume   423.0 Å³/cell
Magnetic moment   0.01 Bohr magnetons per cell
Formation energy from raw total energies   -1.15 eV/atom

[6]
Density functional theory data (PBE) for a relaxed Sc4C2O crystal.

Cell: 3.2846 3.2846 32.9546 Å, 90.00 90.00 120.00°
With the nearest neighbours (Å) after each atom.
Space group R-3m (No. 166, hexagonal axes)
One atom of each set of equivalent atoms:
Sc: 0.0000 0.0000 0.1167 [6 per cell]  3 C 2.23
Sc: 0.0000 0.0000 0.2924 [6 per cell]  3 C 2.31, 3 O 2.33
C: 0.0000 0.0000 0.4142 [6 per cell]  6 Sc 2.23-2.31
O: 0.0000 0.0000 0.0000 [3 per cell]  6 Sc 2.33

Summary:
Volume   307.9 Å³/cell
Magnetic moment   0.00 Bohr magnetons per cell
Formation energy from raw total energies   -1.28 eV/atom

[7]
Density functional theory data (PBE) for a relaxed ScC3O crystal.

Cell: 3.6590 3.6590 3.6590 Å, 90.00 90.00 90.00°
With the nearest neighbours (Å) after each atom.
Space group Pm-3m (No. 221)
One atom of each set of equivalent atoms:
Sc: 0.0000 0.0000 0.0000 [1 per cell]  12 C 2.59
C: 0.0000 0.5000 0.5000 [3 per cell]  2 O 1.83
O: 0.5000 0.5000 0.5000 [1 per cell]  6 C 1.83

Summary:
Volume   49.0 Å³/cell
Magnetic moment   0.00 Bohr magnetons per cell
Formation energy from raw total energies   2.12 eV/atom

[8]
Density functional theory data (PBE) for a relaxed Sc6C2O crystal.

Cell: 14.3314 3.3004 6.6171 Å, 90.00 103.78 90.00°
With the nearest neighbours (Å) after each atom.
Space group C2/m (No. 12)
One atom of each set of equivalent atoms:
Sc: 0.0047 0.0000 0.2417 [4 per cell]  1 C 2.21, 2 O 2.29
Sc: 0.1627 0.5000 0.0948 [4 per cell]  2 C 2.25, 1 O 2.27
Sc: 0.1699 0.5000 0.5702 [4 per cell]  3 C 2.29-2.32
C: 0.1636 0.0000 0.3271 [4 per cell]  6 Sc 2.21-2.32
O: 0.0000 0.5000 0.0000 [2 per cell]  6 Sc 2.27-2.29

Summary:
Volume   304.0 Å³/cell
Magnetic moment   0.00 Bohr magnetons per cell
Formation energy from raw total energies   -1.00 eV/atom

Q: What is the volume in the fifth record?
A: 423.0 Å³/cell

Q: Look up the volume of the third one.
A: 514.6 Å³/cell

Q: volume of number 2 (Sc6CO3)?
A: 398.8 Å³/cell